Below is a crystal of CuSi2 relaxed with PBEsol, with properties calculated at the SCAN level.

Geometry as CIF:
```
data_CuSi2
_cell_length_a 2.485
_cell_length_b 3.606
_cell_length_c 8.973
_cell_angle_alpha 90.00
_cell_angle_beta 90.00
_cell_angle_gamma 90.00
_symmetry_space_group_name_H-M 'I m m m'
_symmetry_Int_Tables_number 71
_symmetry_space_group_name_Hall '-I 2 2'
loop_
_atom_site_label
_atom_site_type_symbol
_atom_site_fract_x
_atom_site_fract_y
_atom_site_fract_z
Cu1 Cu 0.000 0.000 0.000
Si1 Si 0.000 0.000 0.346
```

- Formation energy without anion corrections: 413 meV/atom

---

Below is a crystal of YFeP2Cl relaxed with PBEsol, with properties calculated at the SCAN level.

Geometry as CIF:
```
data_YFeP2Cl
_cell_length_a 4.691
_cell_length_b 4.691
_cell_length_c 4.789
_cell_angle_alpha 90.00
_cell_angle_beta 90.00
_cell_angle_gamma 90.00
_symmetry_space_group_name_H-M 'P 4/m m m'
_symmetry_Int_Tables_number 123
_symmetry_space_group_name_Hall '-P 4 2'
loop_
_atom_site_label
_atom_site_type_symbol
_atom_site_fract_x
_atom_site_fract_y
_atom_site_fract_z
Y1 Y 0.000 0.000 0.000
Fe1 Fe 0.500 0.500 0.000
P1 P 0.000 0.500 0.500
Cl1 Cl 0.000 0.000 0.500
```

- Formation energy without anion corrections: 782 meV/atom

---

Below is a crystal of CaCuRe2 relaxed with PBEsol, with properties calculated at the SCAN level.

Geometry as CIF:
```
data_CaCuRe2
_cell_length_a 3.220
_cell_length_b 4.367
_cell_length_c 9.057
_cell_angle_alpha 90.00
_cell_angle_beta 90.00
_cell_angle_gamma 90.00
_symmetry_space_group_name_H-M 'C m m 2'
_symmetry_Int_Tables_number 35
_symmetry_space_group_name_Hall 'C 2 -2'
loop_
_atom_site_label
_atom_site_type_symbol
_atom_site_fract_x
_atom_site_fract_y
_atom_site_fract_z
Ca1 Ca 0.000 0.000 0.000
Cu1 Cu 0.000 0.500 0.732
Re1 Re 0.000 0.000 0.510
Re2 Re 0.000 0.500 0.281
```

- DFT formation energy: 0.568 eV per atom
- Energy relative to the lowest polymorph listed for this composition: 0.2981 eV/atom